1.
MnReO2F (PBE with a Hubbard U, relaxed); SG = P4/mmm; final energy = -7.31 eV/atom; volume = 70.6 Å³ per cell; D(E_F) = 0.875 states/eV/f.u.
1.0
-0.619 3.516 -1.328
-3.486 -0.034 1.535
1.796 1.872 4.118
O Mn Re F
2 1 1 1
Direct
0.000 0.500 0.000
0.500 0.000 0.000
0.500 0.500 0.500
0.000 0.000 0.000
0.000 0.000 0.500

***

2.
MnRhOF2 (PBE with a Hubbard U, relaxed); SG = P4/mmm; final energy = -5.55 eV/atom; volume = 72.1 Å³ per cell; D(E_F) = 3.950 states/eV/f.u.
1.0
4.352 0.000 0.000
0.000 4.352 0.000
0.000 0.000 3.808
F Rh Mn O
2 1 1 1
Direct
0.000 0.500 0.000
0.500 0.000 0.000
0.000 0.000 0.000
0.500 0.500 0.500
0.000 0.000 0.500

***

3.
MnRhOF2 (PBE with a Hubbard U, relaxed); SG = P4/mmm; final energy = -5.67 eV/atom; volume = 64.7 Å³ per cell; D(E_F) = 6.224 states/eV/f.u.
1.0
-2.807 -1.823 2.344
2.623 -0.010 3.133
-1.321 3.469 1.117
O F Mn Rh
1 2 1 1
Direct
0.000 0.000 0.500
0.000 0.500 0.000
0.500 0.000 0.000
0.000 0.000 0.000
0.500 0.500 0.500

***

4.
MnRuOF2 (PBE with a Hubbard U, relaxed); SG = P4/mmm; final energy = -5.71 eV/atom; volume = 65.2 Å³ per cell; D(E_F) = 9.237 states/eV/f.u.
1.0
-0.212 3.840 1.378
-3.973 0.120 -0.945
-0.887 -1.328 3.563
F Ru O Mn
2 1 1 1
Direct
0.000 0.500 0.000
0.500 0.000 0.000
0.500 0.500 0.500
0.000 0.000 0.500
0.000 0.000 0.000